(1)
An optimized crystal structure of CuAs2Se, computed with PBE.

Cell lengths 3.657, 2.739, 7.410 Å; angles 86.81, 90.00, 90.00 degrees
Atoms (fractional coordinates):
As1 0.000 0.773 0.457
As2 0.000 0.727 0.043
Se1 0.500 0.750 0.750
Cu1 0.500 0.250 0.250

Summary:
As for the space group: No. 10. The calculation puts the uncorrected formation energy at 3.74 kcal/mol of atoms.

---

(2)
An optimized crystal structure of U2Mn2Si, computed with PBE.

Cell lengths 4.192, 4.190, 5.541 Å; angles 90.00, 67.78, 59.99 degrees
Atoms (fractional coordinates):
U1 0.585 0.207 0.622
U2 0.415 0.793 0.378
Mn1 0.229 0.385 0.156
Mn2 0.771 0.615 0.844
Si1 0.000 0.000 0.000

Summary:
As for the space group: No. 166. The calculation puts the uncorrected formation energy at -5.40 kcal/mol of atoms.

---

(3)
An optimized crystal structure of LaDy2TmTe6, computed with PBE.

Cell lengths 7.795, 7.795, 8.357 Å; angles 62.19, 62.19, 60.00 degrees
Atoms (fractional coordinates):
Te1 0.235 0.918 0.246
Te2 0.124 0.395 0.752
Te3 0.918 0.600 0.246
Te4 0.600 0.235 0.246
Te5 0.395 0.729 0.752
Te6 0.729 0.124 0.752
Dy1 0.008 0.008 0.976
Dy2 0.511 0.511 0.466
La1 0.817 0.817 0.548
Tm1 0.323 0.323 0.032

Summary:
As for the space group: No. 146. The calculation puts the uncorrected formation energy at -31.99 kcal/mol of atoms.

---

(4)
An optimized crystal structure of CoTeW2, computed with PBE.

Cell lengths 3.252, 3.252, 6.187 Å; angles 90.00, 90.00, 90.00 degrees
Atoms (fractional coordinates):
W1 0.500 0.500 0.278
W2 0.000 0.000 0.019
Te1 0.500 0.500 0.745
Co1 0.000 0.000 0.457

Summary:
As for the space group: No. 99. The calculation puts the uncorrected formation energy at 9.69 kcal/mol of atoms.

---

(5)
An optimized crystal structure of Ce4Ge2Pd, computed with PBE.

Cell lengths 4.754, 4.754, 9.959 Å; angles 76.19, 76.19, 60.00 degrees
Atoms (fractional coordinates):
Ce1 0.196 0.196 0.411
Ce2 0.621 0.621 0.138
Ce3 0.379 0.379 0.862
Ce4 0.804 0.804 0.589
Ge1 0.091 0.091 0.728
Ge2 0.909 0.909 0.272
Pd1 0.000 0.000 0.000

Summary:
As for the energy of formation: -42.4 kJ/mol of atoms. The energy above the most stable polymorph in this dataset comes out at 0.055 eV/atom. As for the space group: No. 166.

---

(6)
An optimized crystal structure of CoBi2SBr, computed with PBE.

Cell lengths 5.610, 4.957, 5.610 Å; angles 90.00, 90.00, 90.00 degrees
Atoms (fractional coordinates):
S1 0.000 0.500 0.000
Co1 0.500 0.500 0.500
Bi1 0.500 0.000 0.000
Bi2 0.000 0.000 0.500
Br1 0.000 0.000 0.000

Summary:
As for the space group: No. 123. The calculation puts the uncorrected formation energy at 31.79 kcal/mol of atoms.

---

(7)
An optimized crystal structure of Li2TbGa2Au2, computed with PBE.

Cell lengths 4.516, 4.537, 7.648 Å; angles 106.50, 90.00, 119.84 degrees
Atoms (fractional coordinates):
Au1 0.261 0.522 0.779
Au2 0.739 0.478 0.221
Li1 0.860 0.721 0.575
Li2 0.140 0.279 0.425
Tb1 0.000 0.000 0.000
Ga1 0.427 0.853 0.283
Ga2 0.573 0.147 0.717

Summary:
As for the energy of formation: -58.5 kJ/mol of atoms. As for the space group: No. 12.

---

(8)
An optimized crystal structure of SiOsW2, computed with PBE.

Cell lengths 4.214, 3.757, 3.757 Å; angles 90.00, 90.00, 90.00 degrees
Atoms (fractional coordinates):
Os1 0.500 0.500 0.000
Si1 0.500 0.000 0.500
W1 0.000 0.000 0.000
W2 0.000 0.500 0.500

Summary:
As for the space group: No. 123. The calculation puts the uncorrected formation energy at 4.44 kcal/mol of atoms.

---

(9)
An optimized crystal structure of PrLuSn, computed with PBE.

Cell lengths 4.134, 5.084, 5.084 Å; angles 120.00, 90.00, 90.00 degrees
Atoms (fractional coordinates):
Lu1 0.171 0.000 0.000
Sn1 0.160 0.333 0.667
Pr1 0.668 0.667 0.333

Summary:
As for the energy of formation: -38.0 kJ/mol of atoms. As for the space group: No. 156.

---

(10)
An optimized crystal structure of TlReO4, computed with PBE.

Cell lengths 13.525, 5.872, 17.793 Å; angles 89.29, 90.00, 90.00 degrees
Atoms (fractional coordinates):
Tl1 0.871 0.007 0.748
Tl2 0.129 0.993 0.252
Tl3 0.371 0.493 0.252
Tl4 0.624 0.493 0.085
Tl5 0.870 0.981 0.420
Tl6 0.629 0.507 0.748
Tl7 0.376 0.507 0.915
Tl8 0.130 0.019 0.580
Tl9 0.124 0.007 0.915
Tl10 0.370 0.519 0.580
Tl11 0.876 0.993 0.085
Tl12 0.630 0.481 0.420
O1 0.007 0.362 0.418
O2 0.203 0.370 0.152
O3 0.057 0.288 0.712
O4 0.544 0.773 0.219
O5 0.322 0.982 0.332
O6 0.203 0.632 0.680
O7 0.301 0.115 0.010
O8 0.445 0.210 0.124
O9 0.310 0.933 0.493
O10 0.993 0.638 0.582
O11 0.055 0.710 0.124
O12 0.199 0.615 0.010
O13 0.297 0.132 0.680
O14 0.703 0.868 0.320
O15 0.956 0.273 0.219
O16 0.943 0.712 0.288
O17 0.797 0.630 0.848
O18 0.305 0.911 0.826
O19 0.190 0.433 0.493
O20 0.801 0.385 0.990
O21 0.588 0.684 0.574
O22 0.555 0.790 0.876
O23 0.551 0.216 0.955
O24 0.051 0.284 0.045
O25 0.493 0.862 0.418
O26 0.412 0.316 0.426
O27 0.690 0.067 0.507
O28 0.699 0.885 0.990
O29 0.443 0.788 0.712
O30 0.945 0.290 0.876
O31 0.949 0.716 0.955
O32 0.044 0.727 0.781
O33 0.297 0.870 0.152
O34 0.178 0.482 0.332
O35 0.797 0.368 0.320
O36 0.507 0.138 0.582
O37 0.695 0.089 0.174
O38 0.912 0.184 0.574
O39 0.449 0.784 0.045
O40 0.810 0.567 0.507
O41 0.703 0.130 0.848
O42 0.088 0.816 0.426
O43 0.822 0.518 0.668
O44 0.678 0.018 0.668
O45 0.805 0.589 0.174
O46 0.456 0.227 0.781
O47 0.195 0.411 0.826
O48 0.557 0.212 0.288
Re1 0.873 0.505 0.917
Re2 0.127 0.495 0.083
Re3 0.116 0.524 0.417
Re4 0.627 0.005 0.917
Re5 0.616 0.976 0.583
Re6 0.384 0.024 0.417
Re7 0.373 0.995 0.083
Re8 0.875 0.487 0.250
Re9 0.625 0.987 0.250
Re10 0.884 0.476 0.583
Re11 0.375 0.013 0.750
Re12 0.125 0.513 0.750

Summary:
The energy above the most stable polymorph in this dataset comes out at 0.000 eV/atom. As for the space group: No. 14. The calculation puts the uncorrected formation energy at -35.35 kcal/mol of atoms.

---

(11)
An optimized crystal structure of TbTi3Ge2, computed with PBE.

Cell lengths 3.973, 8.293, 8.208 Å; angles 116.71, 90.00, 103.86 degrees
Atoms (fractional coordinates):
Ti1 0.685 0.371 0.466
Ti2 0.589 0.178 0.674
Ti3 0.948 0.896 0.601
Ti4 0.052 0.104 0.399
Ti5 0.411 0.822 0.326
Ti6 0.315 0.629 0.534
Ge1 0.791 0.582 0.277
Ge2 0.518 0.036 0.163
Ge3 0.482 0.964 0.837
Ge4 0.209 0.418 0.723
Tb1 0.860 0.720 0.932
Tb2 0.140 0.280 0.068

Summary:
As for the energy of formation: -51.2 kJ/mol of atoms. As for the space group: No. 12.

---

(12)
An optimized crystal structure of La12Ge6C, computed with PBE.

Cell lengths 8.364, 8.364, 8.364 Å; angles 92.21, 92.21, 92.21 degrees
Atoms (fractional coordinates):
La1 0.069 0.300 0.955
La2 0.186 0.420 0.555
La3 0.580 0.445 0.814
La4 0.555 0.186 0.420
La5 0.045 0.931 0.700
La6 0.445 0.814 0.580
La7 0.300 0.955 0.069
La8 0.700 0.045 0.931
La9 0.420 0.555 0.186
La10 0.931 0.700 0.045
La11 0.814 0.580 0.445
La12 0.955 0.069 0.300
Ge1 0.642 0.854 0.258
Ge2 0.258 0.642 0.854
Ge3 0.358 0.146 0.742
Ge4 0.742 0.358 0.146
Ge5 0.146 0.742 0.358
Ge6 0.854 0.258 0.642
C1 0.000 0.000 0.000

Summary:
As for the energy of formation: -55.4 kJ/mol of atoms. As for the space group: No. 148.